# LiCoPO4 PBE+U relaxed
data_LiCoPO4
_space_group_name_H-M_alt 'P 1 21/c 1'
_space_group_IT_number 14
_space_group_name_Hall '-P 2ybc'
_cell_length_a 5.2213
_cell_length_b 6.2149
_cell_length_c 11.0785
_cell_angle_alpha 90.00
_cell_angle_beta 90.51
_cell_angle_gamma 90.00
loop_
_atom_site_label
_atom_site_fract_x
_atom_site_fract_y
_atom_site_fract_z
_atom_site_occupancy
Li1 0.0264 0.0506 0.2945 1
Co1 0.4795 0.6650 0.6038 1
P1 0.4015 0.1536 0.6576 1
O1 0.2247 0.1856 0.7710 1
O2 0.2980 0.5499 0.0925 1
O3 0.3249 0.6379 0.7909 1
O4 0.3767 0.1492 0.0690 1
# - Calculated volume: 12.8 A^3/atom
# - Energy above the most stable polymorph in this dataset: 0.0676 eV per atom
# - Final energy: -6.58 eV/atom